# 1
# LaV, relaxed, DFT PBE
# Space-group type: P2_12_12_1 (19)
# E_form (eV/atom): 0.4301
# Energy above the lowest structure with this stoichiometry (kJ/mol of atoms): 2.2
# DOS(E_F) (states/eV per atom): 1.3859
# Total magnetization (μB per formula unit): 0.00
data_LaV
_chemical_formula_sum 'La8 V8'
_space_group_name_H-M_alt 'P 1'
_space_group_IT_number 1
_cell_length_a 7.7125
_cell_length_b 5.2913
_cell_length_c 9.8448
_cell_angle_alpha 90.00
_cell_angle_beta 90.00
_cell_angle_gamma 90.00
loop_
_space_group_symop_operation_xyz
'x,y,z'
loop_
_atom_site_label
_atom_site_type_symbol
_atom_site_fract_x
_atom_site_fract_y
_atom_site_fract_z
V1 V 0.4786 0.5833 0.6983
La1 La 0.8852 0.8223 0.9841
V2 V 0.2259 0.1904 0.2023
La2 La 0.6312 0.2220 0.1427
V3 V 0.2741 0.8096 0.7023
La3 La 0.8688 0.7780 0.6427
V4 V 0.0214 0.4167 0.1983
V5 V 0.7259 0.3096 0.7977
La4 La 0.3852 0.6777 0.0159
V6 V 0.5214 0.0833 0.8017
La5 La 0.6148 0.1777 0.4841
V7 V 0.7741 0.6904 0.2977
La6 La 0.1312 0.2780 0.8573
La7 La 0.3688 0.7220 0.3573
La8 La 0.1148 0.3223 0.5159
V8 V 0.9786 0.9167 0.3017

# 2
# LaV, relaxed, DFT PBE
# Space-group type: Fm-3m (225)
# E_form (eV/atom): 1.0740
# Energy above the lowest structure with this stoichiometry (kJ/mol of atoms): 64.4
# DOS(E_F) (states/eV per atom): 2.0406
# Total magnetization (μB per formula unit): 3.93
data_LaV
_chemical_formula_sum 'La4 V4'
_space_group_name_H-M_alt 'P 1'
_space_group_IT_number 1
_cell_length_a 6.2131
_cell_length_b 6.2131
_cell_length_c 6.2131
_cell_angle_alpha 90.00
_cell_angle_beta 90.00
_cell_angle_gamma 90.00
loop_
_space_group_symop_operation_xyz
'x,y,z'
loop_
_atom_site_label
_atom_site_type_symbol
_atom_site_fract_x
_atom_site_fract_y
_atom_site_fract_z
V1 V 0.0000 0.5000 0.5000
V2 V 0.5000 0.0000 0.5000
V3 V 0.0000 0.0000 0.0000
La1 La 0.0000 0.0000 0.5000
La2 La 0.5000 0.5000 0.5000
La3 La 0.0000 0.5000 0.0000
V4 V 0.5000 0.5000 0.0000
La4 La 0.5000 0.0000 0.0000

# 3
# LaV, relaxed, DFT PBE
# Space-group type: I4/mmm (139)
# E_form (eV/atom): 0.6931
# Energy above the lowest structure with this stoichiometry (kJ/mol of atoms): 27.6
# DOS(E_F) (states/eV per atom): 1.5907
# Total magnetization (μB per formula unit): 0.00
data_LaV
_chemical_formula_sum 'La8 V8'
_space_group_name_H-M_alt 'P 1'
_space_group_IT_number 1
_cell_length_a 11.1634
_cell_length_b 11.1634
_cell_length_c 3.7867
_cell_angle_alpha 90.00
_cell_angle_beta 90.00
_cell_angle_gamma 90.00
loop_
_space_group_symop_operation_xyz
'x,y,z'
loop_
_atom_site_label
_atom_site_type_symbol
_atom_site_fract_x
_atom_site_fract_y
_atom_site_fract_z
V1 V 0.2085 0.7915 0.0000
La1 La 0.7231 0.0000 0.5000
La2 La 0.2769 0.0000 0.5000
La3 La 0.0000 0.7231 0.5000
La4 La 0.2231 0.5000 0.0000
La5 La 0.0000 0.2769 0.5000
V2 V 0.7085 0.7085 0.5000
V3 V 0.2915 0.2915 0.5000
La6 La 0.5000 0.7769 0.0000
La7 La 0.7769 0.5000 0.0000
V4 V 0.7915 0.2085 0.0000
V5 V 0.2085 0.2085 0.0000
V6 V 0.7915 0.7915 0.0000
V7 V 0.2915 0.7085 0.5000
V8 V 0.7085 0.2915 0.5000
La8 La 0.5000 0.2231 0.0000

# 4
# LaV, relaxed, DFT PBE
# Space-group type: P4_2/mnm (136)
# E_form (eV/atom): 0.8322
# Energy above the lowest structure with this stoichiometry (kJ/mol of atoms): 41.0
# DOS(E_F) (states/eV per atom): 1.3505
# Total magnetization (μB per formula unit): 0.00
data_LaV
_chemical_formula_sum 'La4 V4'
_space_group_name_H-M_alt 'P 1'
_space_group_IT_number 1
_cell_length_a 6.1116
_cell_length_b 6.1116
_cell_length_c 6.1840
_cell_angle_alpha 90.00
_cell_angle_beta 90.00
_cell_angle_gamma 90.00
loop_
_space_group_symop_operation_xyz
'x,y,z'
loop_
_atom_site_label
_atom_site_type_symbol
_atom_site_fract_x
_atom_site_fract_y
_atom_site_fract_z
La1 La 0.6759 0.3241 0.5000
V1 V 0.8891 0.8891 0.5000
La2 La 0.1759 0.1759 0.0000
V2 V 0.6109 0.3891 0.0000
La3 La 0.8241 0.8241 0.0000
V3 V 0.3891 0.6109 0.0000
V4 V 0.1109 0.1109 0.5000
La4 La 0.3241 0.6759 0.5000

# 5
# LaVW3, relaxed, DFT PBE
# Space-group type: Pm-3m (221)
# E_form (eV/atom): 2.9666
# Energy above the lowest structure with this stoichiometry (kJ/mol of atoms): 168.4
# DOS(E_F) (states/eV per atom): 1.7929
# Total magnetization (μB per formula unit): 2.92
data_LaVW3
_chemical_formula_sum 'La1 V1 W3'
_space_group_name_H-M_alt 'P 1'
_space_group_IT_number 1
_cell_length_a 4.8070
_cell_length_b 4.8070
_cell_length_c 4.8070
_cell_angle_alpha 90.00
_cell_angle_beta 90.00
_cell_angle_gamma 90.00
loop_
_space_group_symop_operation_xyz
'x,y,z'
loop_
_atom_site_label
_atom_site_type_symbol
_atom_site_fract_x
_atom_site_fract_y
_atom_site_fract_z
La1 La 0.0000 0.0000 0.0000
W1 W 0.5000 0.0000 0.0000
W2 W 0.0000 0.0000 0.5000
V1 V 0.5000 0.5000 0.5000
W3 W 0.0000 0.5000 0.0000

# 6
# La2V4W, relaxed, DFT PBE
# Space-group type: I4/mmm (139)
# E_form (eV/atom): 0.9216
# DOS(E_F) (states/eV per atom): 0.9494
# Total magnetization (μB per formula unit): 8.16
data_La2V4W
_chemical_formula_sum 'La2 V4 W1'
_space_group_name_H-M_alt 'P 1'
_space_group_IT_number 1
_cell_length_a 4.7665
_cell_length_b 4.7665
_cell_length_c 8.3604
_cell_angle_alpha 73.44
_cell_angle_beta 73.44
_cell_angle_gamma 90.00
loop_
_space_group_symop_operation_xyz
'x,y,z'
loop_
_atom_site_label
_atom_site_type_symbol
_atom_site_fract_x
_atom_site_fract_y
_atom_site_fract_z
V1 V 0.8392 0.8392 0.3216
La1 La 0.3657 0.3657 0.2686
W1 W 0.0000 0.0000 0.0000
V2 V 0.1608 0.1608 0.6784
La2 La 0.6343 0.6343 0.7314
V3 V 0.5000 0.0000 0.0000
V4 V 0.0000 0.5000 0.0000